DFT (GGA-PBE) results for crystalline GdEr2 at its relaxed geometry. Values from VASP.

Structure (Quantum ESPRESSO input):
```
&SYSTEM
  ibrav = 0, nat = 3, ntyp = 2
/
ATOMIC_SPECIES
Gd 157.25 Gd.upf
Er 167.26 Er.upf
ATOMIC_POSITIONS angstrom
Gd 0.000 0.000 0.000
Er 3.326 3.506 1.118
Er 0.252 2.541 2.467
CELL_PARAMETERS angstrom
-2.609 2.357 0.373
-0.268 -0.838 3.424
6.455 4.528 -0.213
```

Properties
- Total moment: 7.273 μB/cell
- DOS at the Fermi energy: 1.54 states/eV per atom
- Energy of formation from the pure elements: 0.025 eV per atom
- Calculated total energy: -7.71 eV per atom